[1]
# Ca2SbO

A relaxed Ca2SbO crystal (PBE, Alexandria via LeMat-Bulk).

Magnetization: 0.00 Bohr magnetons per cell
Distance to the lowest polymorph of the same formula: 0.00 eV/f.u.
ΔE_f (raw): -1.85 eV per atom
Symmetry: Pna2_1, No. 33
V: 25.2 Å³ per atom

abc: 7.1277 6.4985 8.7158
angles: 90.00 90.00 90.00
With the nearest neighbours (Å) after each atom.
Fractional positions:
1 Ca 0.5045 0.0688 0.1374  2 O 2.18-2.22
2 Ca 0.5045 0.5688 0.3626  2 O 2.18-2.22
3 Ca 0.0045 0.9312 0.8626  2 O 2.18-2.22
4 Ca 0.0045 0.4312 0.6374  2 O 2.18-2.22
5 Ca 0.7562 0.4996 0.0006  2 O 2.25
6 Ca 0.2562 0.5004 0.9994  2 O 2.25
7 Ca 0.2562 0.0004 0.5006  2 O 2.25
8 Ca 0.7562 0.9996 0.4994  2 O 2.25
9 Sb 0.0066 0.6515 0.2951  7 Ca 3.28-3.67, 2 Sb 3.34
10 Sb 0.5066 0.3485 0.7049  7 Ca 3.28-3.67, 2 Sb 3.34
11 Sb 0.5066 0.8485 0.7951  7 Ca 3.28-3.67, 2 Sb 3.34
12 Sb 0.0066 0.1515 0.2049  7 Ca 3.28-3.67, 2 Sb 3.34
13 O 0.0057 0.5896 0.8577  4 Ca 2.18-2.25
14 O 0.5057 0.9104 0.3577  4 Ca 2.18-2.25
15 O 0.0057 0.0896 0.6423  4 Ca 2.18-2.25
16 O 0.5057 0.4104 0.1423  4 Ca 2.18-2.25

---

[2]
# RePbF3

A relaxed RePbF3 crystal (PBE, Alexandria via LeMat-Bulk).

Magnetization: 0.00 Bohr magnetons per cell
Distance to the lowest polymorph of the same formula: 0.00 eV/f.u.
ΔE_f (raw): -0.69 eV per atom
Symmetry: Pm-3m, No. 221
V: 15.8 Å³ per atom

abc: 4.2919 4.2919 4.2919
angles: 90.00 90.00 90.00
With the nearest neighbours (Å) after each atom.
Fractional positions:
1 Pb 0.5000 0.5000 0.5000  12 F 3.03
2 Re 0.0000 0.0000 0.0000  6 F 2.15
3 F 0.0000 0.5000 0.0000  2 Re 2.15
4 F 0.0000 0.0000 0.5000  2 Re 2.15
5 F 0.5000 0.0000 0.0000  2 Re 2.15

---

[3]
# KNa3Ag2I6

A relaxed KNa3Ag2I6 crystal (PBE, Alexandria via LeMat-Bulk).

Magnetization: 0.00 Bohr magnetons per cell
ΔE_f (raw): -0.91 eV per atom
Symmetry: C2/m, No. 12
V: 36.1 Å³ per atom

abc: 4.4854 9.2222 11.0411
angles: 104.12 101.72 90.00
With the nearest neighbours (Å) after each atom.
Fractional positions:
1 K 0.5000 0.0000 0.0000  6 I 3.40-3.69
2 Na 0.5000 0.5000 0.0000  4 I 3.12
3 Na 0.8286 0.1851 0.6572  6 I 3.11-3.45
4 Na 0.1714 0.8149 0.3428  6 I 3.11-3.45
5 Ag 0.8048 0.6695 0.6096  5 I 2.94-3.14
6 Ag 0.1952 0.3305 0.3904  5 I 2.94-3.14
7 I 0.3236 0.8985 0.6471  2 Ag 3.04, 1 Na 3.19
8 I 0.6659 0.5417 0.3318  3 Ag 2.94-3.14
9 I 0.6764 0.1015 0.3529  2 Ag 3.04, 1 Na 3.19
10 I 0.9769 0.2580 0.9538  3 Na 3.11-3.12, 2 K 3.40
11 I 0.0231 0.7420 0.0462  3 Na 3.11-3.12, 2 K 3.40
12 I 0.3341 0.4583 0.6682  3 Ag 2.94-3.14

---

[4]
# AgMo2As

A relaxed AgMo2As crystal (PBE, Alexandria via LeMat-Bulk).

Magnetization: 0.00 Bohr magnetons per cell
Energy of formation: 2.131 eV/f.u.
Symmetry: I4/mmm, No. 139
V: 16.2 Å³ per atom

abc: 5.0053 5.0053 5.0053
angles: 133.51 133.51 67.85
With the nearest neighbours (Å) after each atom.
Fractional positions:
1 Mo 0.0000 0.0000 0.0000  4 Mo 2.79, 4 Ag 2.87, 4 As 2.87
2 Mo 0.5000 0.5000 0.0000  4 Mo 2.79, 4 As 2.87, 4 Ag 2.87
3 As 0.7500 0.2500 0.5000  4 Ag 2.79, 8 Mo 2.87
4 Ag 0.2500 0.7500 0.5000  4 As 2.79, 8 Mo 2.87

---

Q: What is the magnetization in the fourth record?
A: 0.00 Bohr magnetons per cell

---

Q: Number 4 is which compound?
A: AgMo2As